Record 1
# Tl2SbTeSe

Crystalline Tl2SbTeSe at its relaxed geometry (PBE-GGA, Alexandria).

The structure in extended XYZ format:
```
10
Lattice="2.469 -5.808 0.000 2.469 5.808 0.000 0.000 0.000 11.555" Properties=species:S:1:pos:R:3 pbc="T T T"
Tl 2.469 4.005 6.620
Tl 2.469 4.005 10.712
Tl 2.469 -4.005 0.843
Tl 2.469 -4.005 4.935
Sb 2.469 0.397 8.666
Sb 2.469 -0.397 2.889
Te 2.469 3.869 2.889
Te 2.469 -3.869 8.666
Se 2.469 0.000 0.000
Se 2.469 0.000 5.777
```

Calculated values
Crystal system ... orthorhombic
Calculated total energy ... -3.283 eV/atom

---

Record 2
# Tm8SbTe4Se3

Crystalline Tm8SbTe4Se3 at its relaxed geometry (PBE-GGA, Alexandria).

The structure in extended XYZ format:
```
16
Lattice="4.188 2.418 6.938 -4.188 2.418 6.938 0.000 -4.836 6.938" Properties=species:S:1:pos:R:3 pbc="T T T"
Tm -2.180 -1.258 11.939
Tm 0.000 0.000 4.951
Tm 0.000 -2.517 8.876
Tm -2.180 1.258 8.876
Tm 2.180 -1.258 11.939
Tm 0.000 2.517 11.939
Tm 0.000 0.000 15.864
Tm 2.180 1.258 8.876
Sb 0.000 0.000 10.408
Te 0.000 0.000 0.000
Te -2.094 -1.209 6.938
Te -2.094 1.209 13.877
Te 0.000 2.418 6.938
Se -4.188 0.000 10.408
Se -2.094 1.209 3.469
Se 2.094 1.209 3.469
```

Calculated values
Crystal system ... trigonal
Calculated total energy ... -5.294 eV/atom

---

Record 3
# Tm4SbTeSe2

Crystalline Tm4SbTeSe2 at its relaxed geometry (PBE-GGA, Alexandria).

The structure in extended XYZ format:
```
16
Lattice="-4.151 4.193 5.900 4.151 -4.193 5.900 4.151 4.193 -5.900" Properties=species:S:1:pos:R:3 pbc="T T T"
Tm 1.986 2.097 0.134
Tm 2.166 -2.097 6.034
Tm 0.000 0.197 2.882
Tm 4.151 0.197 3.018
Tm 0.000 3.996 2.882
Tm 4.151 3.996 3.018
Tm 1.986 6.290 -0.134
Tm 2.166 2.097 5.766
Sb 4.151 0.000 0.000
Sb 0.000 0.000 5.900
Te 2.076 2.097 -2.950
Te 2.076 -2.097 2.950
Se 0.000 0.000 0.000
Se -2.076 2.097 2.950
Se 0.000 4.193 0.000
Se 2.076 2.097 2.950
```

Calculated values
Crystal system ... orthorhombic
Calculated total energy ... -5.421 eV/atom

---

Record 4
# Tm6Sb2Te3Se

Crystalline Tm6Sb2Te3Se at its relaxed geometry (PBE-GGA, Alexandria).

The structure in extended XYZ format:
```
12
Lattice="9.357 -2.133 0.000 9.357 2.133 0.000 -2.050 0.000 8.300" Properties=species:S:1:pos:R:3 pbc="T T T"
Tm -0.441 0.000 1.848
Tm 5.349 0.000 3.526
Tm 4.596 0.000 7.626
Tm 12.069 0.000 0.674
Tm 11.317 0.000 4.774
Tm 17.107 0.000 6.451
Sb 2.431 0.000 2.743
Sb 14.234 0.000 5.557
Te 1.469 0.000 6.928
Te 8.333 0.000 4.150
Te 15.197 0.000 1.372
Se 9.357 0.000 0.000
```

Calculated values
Crystal system ... monoclinic
Calculated total energy ... -5.250 eV/atom

---

Record 5
# Tm6SbTe2Se3

Crystalline Tm6SbTe2Se3 at its relaxed geometry (PBE-GGA, Alexandria).

The structure in extended XYZ format:
```
12
Lattice="3.600 -6.229 0.000 3.600 6.229 0.000 -2.396 0.000 6.855" Properties=species:S:1:pos:R:3 pbc="T T T"
Tm -0.034 2.024 5.341
Tm 1.129 0.000 1.493
Tm -0.034 -2.024 5.341
Tm 4.837 2.024 1.514
Tm 3.674 0.000 5.361
Tm 4.837 -2.024 1.514
Sb -1.198 0.000 3.427
Te 2.402 2.064 3.427
Te 2.402 -2.064 3.427
Se 3.600 4.103 0.000
Se 3.600 0.000 0.000
Se 3.600 -4.103 0.000
```

Calculated values
Crystal system ... monoclinic
Calculated total energy ... -5.392 eV/atom

---

Record 6
# Tm6SbTe3Se2

Crystalline Tm6SbTe3Se2 at its relaxed geometry (PBE-GGA, Alexandria).

The structure in extended XYZ format:
```
12
Lattice="3.631 -6.288 0.000 3.631 6.288 0.000 -2.426 0.000 6.981" Properties=species:S:1:pos:R:3 pbc="T T T"
Tm -0.061 2.177 5.426
Tm 1.096 0.000 1.520
Tm -0.061 -2.177 5.426
Tm 4.898 2.177 1.555
Tm 3.740 0.000 5.460
Tm 4.898 -2.177 1.555
Sb 3.631 0.000 0.000
Te -1.213 0.000 3.490
Te 2.418 2.033 3.490
Te 2.418 -2.033 3.490
Se 3.631 4.171 0.000
Se 3.631 -4.171 0.000
```

Calculated values
Crystal system ... monoclinic
Calculated total energy ... -5.284 eV/atom

---

Record 7
# SbTe2WSe

Crystalline SbTe2WSe at its relaxed geometry (PBE-GGA, Alexandria).

The structure in extended XYZ format:
```
5
Lattice="5.185 0.000 0.000 0.000 5.185 0.000 0.000 0.000 5.365" Properties=species:S:1:pos:R:3 pbc="T T T"
Sb 0.000 0.000 0.000
Te 0.000 2.592 2.683
Te 2.592 0.000 2.683
W 0.000 0.000 2.683
Se 2.592 2.592 0.000
```

Calculated values
E above lowest polymorph ... 0.000 eV per atom
Crystal system ... tetragonal

---

Record 8
# SbTe2WSe

Crystalline SbTe2WSe at its relaxed geometry (PBE-GGA, Alexandria).

The structure in extended XYZ format:
```
5
Lattice="5.316 0.000 0.000 0.000 5.316 0.000 0.000 0.000 5.366" Properties=species:S:1:pos:R:3 pbc="T T T"
Sb 0.000 0.000 0.000
Te 0.000 2.658 2.683
Te 2.658 0.000 2.683
W 2.658 2.658 0.000
Se 0.000 0.000 2.683
```

Calculated values
E above lowest polymorph ... 0.890 eV per atom
Crystal system ... tetragonal

---

Record 9
# Y4SbTeSe2

Crystalline Y4SbTeSe2 at its relaxed geometry (PBE-GGA, Alexandria).

The structure in extended XYZ format:
```
8
Lattice="7.319 0.000 0.000 0.000 4.215 0.000 -2.420 0.000 6.965" Properties=species:S:1:pos:R:3 pbc="T T T"
Y 1.167 0.000 1.553
Y -0.037 2.107 5.366
Y 4.936 2.107 1.599
Y 3.731 0.000 5.413
Sb -1.210 0.000 3.483
Te 2.449 2.107 3.483
Se 0.000 2.107 0.000
Se 3.659 0.000 0.000
```

Calculated values
Crystal system ... monoclinic
Calculated total energy ... -6.528 eV/atom

---

Record 10
# Y6Sb2TeSe3

Crystalline Y6Sb2TeSe3 at its relaxed geometry (PBE-GGA, Alexandria).

The structure in extended XYZ format:
```
12
Lattice="9.250 -2.113 0.000 9.250 2.113 0.000 -1.985 0.000 8.255" Properties=species:S:1:pos:R:3 pbc="T T T"
Y -0.403 0.000 1.902
Y 5.189 0.000 3.481
Y 4.413 0.000 7.507
Y 12.102 0.000 0.748
Y 11.325 0.000 4.774
Y 16.918 0.000 6.353
Sb 1.419 0.000 6.864
Sb 15.095 0.000 1.391
Te 8.257 0.000 4.128
Se 2.385 0.000 2.753
Se 9.250 0.000 0.000
Se 14.130 0.000 5.503
```

Calculated values
Crystal system ... monoclinic
Calculated total energy ... -6.555 eV/atom

---

Record 11
# YSb2TeSe

Crystalline YSb2TeSe at its relaxed geometry (PBE-GGA, Alexandria).

The structure in extended XYZ format:
```
5
Lattice="5.847 0.000 0.000 0.000 5.847 0.000 0.000 0.000 5.655" Properties=species:S:1:pos:R:3 pbc="T T T"
Y 0.000 0.000 0.000
Sb 0.000 2.924 0.000
Sb 2.924 0.000 0.000
Te 0.000 0.000 2.828
Se 2.924 2.924 2.828
```

Calculated values
E above lowest polymorph ... 0.330 eV per atom
Crystal system ... tetragonal

---

Record 12
# Y6SbTe2Se3

Crystalline Y6SbTe2Se3 at its relaxed geometry (PBE-GGA, Alexandria).

The structure in extended XYZ format:
```
12
Lattice="3.651 -6.323 0.000 3.651 6.323 0.000 -2.433 0.000 6.972" Properties=species:S:1:pos:R:3 pbc="T T T"
Y -0.033 2.056 5.421
Y 1.149 0.000 1.537
Y -0.033 -2.056 5.421
Y 4.902 2.056 1.552
Y 3.719 0.000 5.435
Y 4.902 -2.056 1.552
Sb -1.216 0.000 3.486
Te 2.434 2.099 3.486
Te 2.434 -2.099 3.486
Se 3.651 4.172 0.000
Se 3.651 0.000 0.000
Se 3.651 -4.172 0.000
```

Calculated values
Crystal system ... monoclinic
Calculated total energy ... -6.502 eV/atom

---

V across the listed records, respectively: 33.1 26.3 25.7 27.6 25.6 26.6 28.8 30.3 26.9 26.9 38.7 26.8 Å³/atom.
D(E_F) across the listed records, respectively: 1.26 4.77 3.55 3.92 4.21 4.77 5.09 2.93 3.70 4.96 6.22 5.05 states/eV/f.u..